# 1
Compound: V3PdO
Source: Alexandria via LeMat-Bulk
Functional: PBE+U
Structure: optimized geometry

Output
Electronic total energy ... -23.99 eV/cell
Crystal system ... cubic
Total magnetization ... 9.77 Bohr magnetons per cell

Cell and atoms, written as CIF:
```
data_V3PdO
_chemical_formula_sum 'V3 Pd1 O1'
_cell_length_a 5.0083
_cell_length_b 5.0083
_cell_length_c 5.0083
_cell_angle_alpha 90.00
_cell_angle_beta 90.00
_cell_angle_gamma 90.00
_symmetry_space_group_name_H-M 'P m -3 m'
_symmetry_Int_Tables_number 221
_symmetry_space_group_name_Hall '-P 4 2 3'
loop_
_atom_site_label
_atom_site_type_symbol
_atom_site_fract_x
_atom_site_fract_y
_atom_site_fract_z
V1 V 0.0000 0.0000 0.5000
Pd1 Pd 0.0000 0.0000 0.0000
O1 O 0.5000 0.5000 0.5000
```

---

# 2
Compound: VPd3O
Source: Alexandria via LeMat-Bulk
Functional: PBE+U
Structure: optimized geometry

Output
Electronic total energy ... -27.30 eV/cell
Crystal system ... cubic
Total magnetization ... 3.04 Bohr magnetons per cell
Offset from the most stable computed form ... 0 meV per atom

Cell and atoms, written as CIF:
```
data_VPd3O
_chemical_formula_sum 'V1 Pd3 O1'
_cell_length_a 4.2433
_cell_length_b 4.2433
_cell_length_c 4.2433
_cell_angle_alpha 90.00
_cell_angle_beta 90.00
_cell_angle_gamma 90.00
_symmetry_space_group_name_H-M 'P m -3 m'
_symmetry_Int_Tables_number 221
_symmetry_space_group_name_Hall '-P 4 2 3'
loop_
_atom_site_label
_atom_site_type_symbol
_atom_site_fract_x
_atom_site_fract_y
_atom_site_fract_z
V1 V 0.0000 0.0000 0.0000
Pd1 Pd 0.0000 0.5000 0.5000
O1 O 0.5000 0.5000 0.5000
```

---

# 3
Compound: VPd3O
Source: Alexandria via LeMat-Bulk
Functional: PBE+U
Structure: optimized geometry

Output
Electronic total energy ... -20.72 eV/cell
Crystal system ... cubic
Total magnetization ... 3.03 Bohr magnetons per cell
Offset from the most stable computed form ... 1316 meV per atom

Cell and atoms, written as CIF:
```
data_VPd3O
_chemical_formula_sum 'V1 Pd3 O1'
_cell_length_a 4.6762
_cell_length_b 4.6762
_cell_length_c 4.6762
_cell_angle_alpha 90.00
_cell_angle_beta 90.00
_cell_angle_gamma 90.00
_symmetry_space_group_name_H-M 'P m -3 m'
_symmetry_Int_Tables_number 221
_symmetry_space_group_name_Hall '-P 4 2 3'
loop_
_atom_site_label
_atom_site_type_symbol
_atom_site_fract_x
_atom_site_fract_y
_atom_site_fract_z
V1 V 0.0000 0.0000 0.0000
Pd1 Pd 0.0000 0.0000 0.5000
O1 O 0.5000 0.5000 0.5000
```

---

# 4
Compound: VPdO
Source: Alexandria via LeMat-Bulk
Functional: PBE+U
Structure: optimized geometry

Output
Electronic total energy ... -79.35 eV/cell
Crystal system ... monoclinic
Total magnetization ... 7.98 Bohr magnetons per cell
Offset from the most stable computed form ... 0 meV per atom

Cell and atoms, written as CIF:
```
data_VPdO
_chemical_formula_sum 'V4 Pd4 O4'
_cell_length_a 9.8800
_cell_length_b 2.9586
_cell_length_c 7.5768
_cell_angle_alpha 90.00
_cell_angle_beta 128.17
_cell_angle_gamma 90.00
_symmetry_space_group_name_H-M 'C 1 2/m 1'
_symmetry_Int_Tables_number 12
_symmetry_space_group_name_Hall '-C 2y'
loop_
_atom_site_label
_atom_site_type_symbol
_atom_site_fract_x
_atom_site_fract_y
_atom_site_fract_z
V1 V 0.2211 0.0000 0.3105
Pd1 Pd 0.1084 0.5000 0.9426
O1 O 0.1361 0.0000 0.4877
```

---

# 5
Compound: V3PdO
Source: Alexandria via LeMat-Bulk
Functional: PBE+U
Structure: optimized geometry

Output
Electronic total energy ... -32.87 eV/cell
Crystal system ... cubic
Total magnetization ... 8.45 Bohr magnetons per cell

Cell and atoms, written as CIF:
```
data_V3PdO
_chemical_formula_sum 'V3 Pd1 O1'
_cell_length_a 4.2148
_cell_length_b 4.2148
_cell_length_c 4.2148
_cell_angle_alpha 90.00
_cell_angle_beta 90.00
_cell_angle_gamma 90.00
_symmetry_space_group_name_H-M 'P m -3 m'
_symmetry_Int_Tables_number 221
_symmetry_space_group_name_Hall '-P 4 2 3'
loop_
_atom_site_label
_atom_site_type_symbol
_atom_site_fract_x
_atom_site_fract_y
_atom_site_fract_z
V1 V 0.0000 0.0000 0.5000
Pd1 Pd 0.5000 0.5000 0.5000
O1 O 0.0000 0.0000 0.0000
```

---

# 6
Compound: VPdO
Source: Alexandria via LeMat-Bulk
Functional: PBE+U
Structure: optimized geometry

Output
Electronic total energy ... -34.98 eV/cell
Crystal system ... tetragonal
Total magnetization ... 4.05 Bohr magnetons per cell
Offset from the most stable computed form ... 782 meV per atom

Cell and atoms, written as CIF:
```
data_VPdO
_chemical_formula_sum 'V2 Pd2 O2'
_cell_length_a 3.6181
_cell_length_b 3.6181
_cell_length_c 6.8161
_cell_angle_alpha 90.00
_cell_angle_beta 90.00
_cell_angle_gamma 90.00
_symmetry_space_group_name_H-M 'I 4 m m'
_symmetry_Int_Tables_number 107
_symmetry_space_group_name_Hall 'I 4 -2'
loop_
_atom_site_label
_atom_site_type_symbol
_atom_site_fract_x
_atom_site_fract_y
_atom_site_fract_z
V1 V 0.0000 0.0000 0.0000
Pd1 Pd 0.0000 0.0000 0.3691
O1 O 0.0000 0.0000 0.7366
```

---

# 7
Compound: VPdO4
Source: Alexandria via LeMat-Bulk
Functional: PBE+U
Structure: optimized geometry

Output
Electronic total energy ... -156.02 eV/cell
Crystal system ... monoclinic
Total magnetization ... 0.00 Bohr magnetons per cell

Cell and atoms, written as CIF:
```
data_VPdO4
_chemical_formula_sum 'V4 Pd4 O16'
_cell_length_a 12.1255
_cell_length_b 3.9270
_cell_length_c 6.7507
_cell_angle_alpha 90.00
_cell_angle_beta 106.63
_cell_angle_gamma 90.00
_symmetry_space_group_name_H-M 'C 1 2/m 1'
_symmetry_Int_Tables_number 12
_symmetry_space_group_name_Hall '-C 2y'
loop_
_atom_site_label
_atom_site_type_symbol
_atom_site_fract_x
_atom_site_fract_y
_atom_site_fract_z
V1 V 0.1015 0.0000 0.2208
Pd1 Pd 0.2041 0.0000 0.8005
O1 O 0.0495 0.0000 0.8614
O2 O 0.1271 0.5000 0.1927
O3 O 0.1341 0.0000 0.4783
O4 O 0.2436 0.5000 0.8585
```

---

# 8
Compound: V3PdO9
Source: Alexandria via LeMat-Bulk
Functional: PBE+U
Structure: optimized geometry

Output
Electronic total energy ... -365.95 eV/cell
Crystal system ... monoclinic
Total magnetization ... 4.02 Bohr magnetons per cell

Cell and atoms, written as CIF:
```
data_V3PdO9
_chemical_formula_sum 'V12 Pd4 O36'
_cell_length_a 14.2116
_cell_length_b 7.1792
_cell_length_c 10.2038
_cell_angle_alpha 90.00
_cell_angle_beta 125.33
_cell_angle_gamma 90.00
_symmetry_space_group_name_H-M 'C 1 c 1'
_symmetry_Int_Tables_number 9
_symmetry_space_group_name_Hall 'C -2yc'
loop_
_atom_site_label
_atom_site_type_symbol
_atom_site_fract_x
_atom_site_fract_y
_atom_site_fract_z
V1 V 0.0000 0.0168 0.0000
V2 V 0.1196 0.3893 0.9260
V3 V 0.3808 0.1113 0.5743
Pd1 Pd 0.2502 0.2495 0.7502
O1 O 0.0005 0.4992 0.2501
O2 O 0.0694 0.1633 0.9393
O3 O 0.0997 0.1152 0.6609
O4 O 0.1593 0.4847 0.5882
O5 O 0.2371 0.3699 0.9181
O6 O 0.2633 0.1291 0.5823
O7 O 0.3414 0.0145 0.9121
O8 O 0.4009 0.3835 0.8395
O9 O 0.4299 0.3380 0.5604
```